This record from Alexandria describes crystalline CrRh2Au at its relaxed geometry. The functional is PBEsol.

Cell: 3.8281 3.8281 7.5721 Å, 90.00 90.00 90.00°
Space group I4/mmm (No. 139)
Asymmetric unit:
1 Cr 0.0000 0.0000 0.0000 (multiplicity 2)
2 Rh 0.0000 0.5000 0.2500 (multiplicity 4)
3 Au 0.0000 0.0000 0.5000 (multiplicity 2)

Results
DOS(E_F): 1.146 states/eV per atom
ΔE_f: 0.33 eV/f.u.
M_tot: 2.5 Bohr magnetons per cell
V: 13.9 Å³ per atom